Li2Pr2CoO6 after structural relaxation. Source: Alexandria, functional PBE with a Hubbard U.

E_tot = -6.41 eV/atom

Structure (extended XYZ):
```
11
Lattice="2.768 1.598 4.684 -2.768 1.598 4.684 0.000 -3.196 4.684" Properties=species:S:1:pos:R:3 pbc="T T T"
Li 0.000 0.000 1.011
Li 0.000 0.000 13.040
Pr 0.000 0.000 3.872
Pr 0.000 0.000 10.180
Co 0.000 0.000 7.026
O 0.000 -1.461 5.854
O -1.265 0.730 5.854
O -1.265 -0.730 8.198
O 1.265 0.730 5.854
O 1.265 -0.730 8.198
O 0.000 1.461 8.198
```